{"formula": "MgMnO2", "functional": "GGA+U", "state": "relaxed", "lattice": [[6.204, 0.000, 0.000], [-3.103, 5.374, 0.001], [-3.103, -1.795, 5.065]], "species": ["Mn", "O", "O", "O", "Mn", "Mn", "O", "Mg", "O", "Mn", "O", "Mg", "O", "Mg", "Mg", "O"], "fractional_positions": [[0.500, 0.000, 0.000], [0.490, 0.255, 0.245], [0.510, 0.745, 0.755], [0.010, 0.255, 0.245], [0.000, 0.500, 0.500], [0.000, 0.000, 0.500], [0.990, 0.745, 0.755], [0.500, 0.500, 0.000], [0.490, 0.735, 0.245], [0.500, 0.000, 0.500], [0.010, 0.255, 0.765], [0.500, 0.500, 0.500], [0.990, 0.745, 0.235], [0.000, 0.500, 0.000], [0.000, 0.000, 0.000], [0.510, 0.265, 0.755]], "dft_energy_ev_per_cell": -110.32, "dos_ef_per_ev_fu": 0.00, "total_magnetization_mub_per_fu": 5.00, "sg": "Fd-3m, No. 227"}